Compound: MoBr2Cl3
Source: OQMD via LeMat-Bulk
Functional: PBE
Structure: relaxed

Lattice parameters (Å, degrees): 6.4093 6.9532 9.6256 107.97 91.84 115.66
Last column: nearest neighbours and their distance in Å.
Space group P-1 (No. 2)
Asymmetric unit:
1 Mo 0.1088 0.2175 0.2171  3 Cl 2.27-2.29, 1 Br 2.42
2 Br 0.0685 0.8075 0.5664  1 Mo 2.42
3 Br 0.2495 0.1874 0.9548  2 Mo 2.69
4 Cl 0.1065 0.6268 0.8543  1 Mo 2.29
5 Cl 0.2976 0.0124 0.2432  1 Mo 2.29
6 Cl 0.4334 0.5615 0.3299  1 Mo 2.27

Values from the calculation:
Magnetization in μB per formula unit: 0.99
ΔE to the lowest computed polymorph in meV/atom: 3.7